Record 1
Here is a geometry-optimized SrNd2PuN4 structure from Alexandria via LeMat-Bulk. Energies are from PBE-GGA.

POSCAR file:
```
SrNd2PuN4
1.0
3.656 0.000 0.000
-1.828 6.298 0.000
0.000 0.000 12.845
N Sr Nd Pu
8 2 4 2
Cartesian
1.828 0.446 3.211 N
0.000 3.083 1.549 N
0.000 5.851 9.634 N
0.000 0.000 6.422 N
1.828 3.215 11.296 N
1.828 3.215 7.971 N
0.000 0.000 0.000 N
0.000 3.083 4.873 N
1.828 4.593 3.211 Sr
0.000 1.705 9.634 Sr
0.000 4.659 6.720 Nd
0.000 4.659 12.547 Nd
1.828 1.638 0.298 Nd
1.828 1.638 6.125 Nd
1.828 4.649 9.634 Pu
0.000 1.649 3.211 Pu
```

Output
Energy relative to the elements, uncorrected = -0.9544 eV/atom
Size of the total moment = 4.000 μB per formula unit

***

Record 2
Here is a geometry-optimized Sr2NdPuN4 structure from Alexandria via LeMat-Bulk. Energies are from PBE-GGA.

POSCAR file:
```
Sr2NdPuN4
1.0
3.642 0.000 0.000
0.000 6.232 0.115
0.000 -2.171 5.974
N Sr Nd Pu
4 2 1 1
Cartesian
0.000 4.393 1.282 N
1.821 0.939 1.287 N
1.821 3.122 4.802 N
0.000 -0.331 4.807 N
1.821 -1.085 2.987 Sr
0.000 2.031 3.044 Sr
1.821 3.116 0.057 Nd
0.000 0.000 0.000 Pu
```

Output
Energy relative to the elements, uncorrected = -1.0232 eV/atom
Size of the total moment = 3.002 μB per formula unit

***

Record 3
Here is a geometry-optimized Nd2PuTaN4 structure from Alexandria via LeMat-Bulk. Energies are from PBE-GGA.

POSCAR file:
```
Nd2PuTaN4
1.0
6.869 0.020 -0.111
0.015 6.869 -0.111
-3.476 -3.479 4.981
N Ta Pu Nd
8 2 2 4
Cartesian
1.865 1.773 4.628 N
3.341 3.250 2.512 N
0.098 3.203 2.305 N
3.310 0.208 2.455 N
1.543 1.638 0.132 N
0.067 0.161 2.248 N
-1.962 1.786 4.796 N
5.371 1.625 -0.036 N
1.704 1.705 2.380 Ta
3.393 -3.459 4.871 Ta
-1.731 1.695 2.435 Pu
0.008 3.435 -0.055 Pu
-1.738 -1.739 2.491 Nd
1.696 -1.729 2.435 Nd
3.442 3.445 -0.111 Nd
3.435 0.010 -0.055 Nd
```

Output
Energy relative to the elements, uncorrected = -1.2775 eV/atom
Size of the total moment = 4.505 μB per formula unit

***

Record 4
Here is a geometry-optimized NdPu2TaN4 structure from Alexandria via LeMat-Bulk. Energies are from PBE-GGA.

POSCAR file:
```
NdPu2TaN4
1.0
3.404 0.000 0.000
-1.702 6.009 0.000
0.000 0.000 12.304
N Pu Nd Ta
8 4 2 2
Cartesian
0.000 3.164 4.587 N
0.000 0.000 0.000 N
0.000 5.323 9.228 N
0.000 0.000 6.152 N
1.702 2.845 7.717 N
1.702 2.845 10.740 N
1.702 0.686 3.076 N
0.000 3.164 1.565 N
0.000 4.430 6.566 Pu
1.702 1.579 5.738 Pu
1.702 1.579 0.414 Pu
0.000 4.430 11.891 Pu
1.702 4.748 3.076 Nd
0.000 1.262 9.228 Nd
0.000 1.901 3.076 Ta
1.702 4.108 9.228 Ta
```

Output
Energy relative to the elements, uncorrected = -1.0821 eV/atom
Size of the total moment = 10.522 μB per formula unit

***

Record 5
Here is a geometry-optimized Tb2NdPuN4 structure from Alexandria via LeMat-Bulk. Energies are from PBE-GGA.

POSCAR file:
```
Tb2NdPuN4
1.0
3.535 0.000 0.000
0.000 6.104 0.114
0.000 -2.128 5.714
N Pu Tb Nd
4 1 2 1
Cartesian
0.000 4.118 1.529 N
1.768 0.932 1.435 N
1.768 3.044 4.393 N
0.000 -0.142 4.300 N
0.000 0.000 0.000 Pu
1.768 -1.064 2.857 Tb
0.000 1.988 2.914 Tb
1.768 3.052 0.057 Nd
```

Output
Energy relative to the elements, uncorrected = -1.4626 eV/atom
Size of the total moment = 4.712 μB per formula unit

***

Record 6
Here is a geometry-optimized Tb2Nd3PuN6 structure from Alexandria via LeMat-Bulk. Energies are from PBE-GGA.

POSCAR file:
```
Tb2Nd3PuN6
1.0
6.152 0.002 -0.001
-3.072 5.330 -0.001
-1.028 -1.780 5.836
Nd Tb N Pu
3 2 6 1
Cartesian
1.026 1.776 2.917 Nd
-2.045 3.550 2.917 Nd
4.097 0.003 2.917 Nd
0.005 3.552 -0.001 Tb
3.074 1.780 -0.001 Tb
3.037 1.845 4.484 N
-0.986 1.707 1.350 N
1.971 0.000 1.350 N
0.080 3.553 4.484 N
-0.036 -0.062 4.473 N
2.087 3.614 1.361 N
0.000 0.000 0.000 Pu
```

Output
Energy relative to the elements, uncorrected = -1.4391 eV/atom
Size of the total moment = 4.255 μB per formula unit

***

Record 7
Here is a geometry-optimized Nd2PuTcN5 structure from Alexandria via LeMat-Bulk. Energies are from PBE-GGA.

POSCAR file:
```
Nd2PuTcN5
1.0
-1.901 -2.282 -1.813
6.269 0.140 -3.411
3.497 -7.768 6.109
N Tc Nd Pu
10 2 4 2
Cartesian
5.293 -5.628 1.532 N
0.559 -0.372 -0.118 N
4.774 -3.620 -0.450 N
7.947 -7.073 0.568 N
2.203 -5.301 1.021 N
4.020 -8.353 2.957 N
0.159 -3.372 0.738 N
1.883 -2.751 -1.852 N
3.924 -0.750 -3.171 N
5.820 -6.237 -1.593 N
6.685 -4.516 -1.326 Tc
2.637 -8.629 4.756 Tc
5.690 -8.135 0.931 Nd
3.563 -5.559 3.260 Nd
3.865 -3.381 -3.138 Nd
2.579 -2.674 0.661 Nd
2.246 -0.512 -1.711 Pu
3.958 -5.709 -0.305 Pu
```

Output
Energy relative to the elements, uncorrected = -0.9394 eV/atom
Size of the total moment = 3.406 μB per formula unit

***

Record 8
Here is a geometry-optimized NdPu2TcN4 structure from Alexandria via LeMat-Bulk. Energies are from PBE-GGA.

POSCAR file:
```
NdPu2TcN4
1.0
-2.300 1.358 2.072
4.538 -2.029 3.609
5.272 10.252 -0.865
N Pu Tc Nd
8 4 2 2
Cartesian
3.703 6.394 2.679 N
0.456 3.127 1.215 N
2.428 0.505 2.364 N
7.054 6.454 3.601 N
2.636 5.126 -0.433 N
0.000 0.000 0.000 N
5.082 9.075 2.452 N
3.807 3.187 2.138 N
-0.005 0.821 2.214 Pu
2.121 4.954 1.866 Pu
7.515 8.760 2.602 Pu
5.390 4.627 2.951 Pu
2.317 2.165 1.154 Tc
5.193 7.416 3.663 Tc
2.788 2.198 4.412 Nd
4.722 7.383 0.404 Nd
```

Output
Energy relative to the elements, uncorrected = -0.9570 eV/atom
Size of the total moment = 8.020 μB per formula unit